{
  "formula": "TbEr3Pd3",
  "functional": "PBE-GGA",
  "state": "relaxed",
  "lattice_angstrom": [[4.912, 2.836, 1.995], [-4.912, 2.836, 1.995], [0.000, -5.672, 1.995]],
  "species": ["Tb", "Er", "Er", "Er", "Pd", "Pd", "Pd"],
  "frac_coords": [[0.000, 0.000, 0.000], [0.000, 0.500, 0.500], [0.500, 0.000, 0.500], [0.500, 0.500, 0.000], [0.000, 0.000, 0.500], [0.000, 0.500, 0.000], [0.500, 0.000, 0.000]],
  "de_polymorph_mev_per_atom": 0,
  "space_group": "R-3m (166)"
}